Mg2NbMoO6 after structural relaxation. Source: Alexandria, functional PBE with a Hubbard U.

Calculated values
For the calculated total energy, the calculation gives -74.1 eV for the cell shown. The calculation puts the total moment at 3.00 μB/f.u. The density of states at the Fermi level comes out at 0.000 states/eV/cell. The symmetry is R3. The calculation puts the calculated density at 4.78 Mg/m³.

a b c (Å): 5.2949 5.2946 5.6648
angles (deg): 62.14 62.14 60.00
Site moments in Bohr magnetons follow the coordinates.
Fractional coordinates of all 10 atoms:
Mg 0.5201 0.5200 0.4397  0.00
Mg 0.0264 0.0265 0.9208  0.00
Nb 0.3156 0.3156 0.0531  0.09
Mo 0.8173 0.8173 0.5480  2.68
O 0.5897 0.2218 0.2527  0.01
O 0.2220 0.9356 0.2526  0.01
O 0.9357 0.5897 0.2528  0.01
O 0.4133 0.7055 0.7651  0.02
O 0.7055 0.1161 0.7651  0.02
O 0.1160 0.4133 0.7652  0.02